1.
DFT (GGA-PBE) results for a relaxed structure of LaCeN2.

- Crystal system: trigonal

Unit cell a=3.6385 b=3.6385 c=17.9573 alpha=90.00 beta=90.00 gamma=120.00
Closest atoms and distances in Å follow each position.
Space group R-3m (No. 166, hexagonal axes)
Asymmetric unit:
La (0.0000, 0.0000, 0.0000) (multiplicity 3)  6 N 2.67
Ce (0.0000, 0.0000, 0.5000) (multiplicity 3)  6 N 2.50
N (0.0000, 0.0000, 0.2418) (multiplicity 6)  3 Ce 2.50, 3 La 2.67

---

2.
DFT (GGA-PBE) results for a relaxed structure of K2Sb4PdPt3.

- Crystal system: tetragonal

Unit cell a=4.8009 b=4.8009 c=10.5067 alpha=90.00 beta=90.00 gamma=90.00
Closest atoms and distances in Å follow each position.
Space group P-4m2 (No. 115)
Asymmetric unit:
K (0.0000, 0.5000, 0.2459) (multiplicity 2)  2 Pd 3.53, 7 Pt 3.53-3.94, 9 Sb 3.59-3.86
Sb (0.0000, 0.0000, 0.5000) (multiplicity 1)  4 Pt 2.71
Sb (0.0000, 0.5000, 0.8786) (multiplicity 2)  3 Pt 2.71-2.72, 2 Pd 2.72
Sb (0.5000, 0.5000, 0.5000) (multiplicity 1)  4 Pt 2.71
Pd (0.5000, 0.5000, 0.0000) (multiplicity 1)  4 Sb 2.72
Pt (0.0000, 0.0000, 0.0000) (multiplicity 1)  4 Sb 2.72
Pt (0.0000, 0.5000, 0.6207) (multiplicity 2)  5 Sb 2.71

---

D(E_F) for every record listed, in sequence, given in states/eV/atom: 0.92 0.58.
M_tot for every record listed, in sequence, given in μB per cell: 0.0 0.0.
Formation energy (no corrections) for every record listed, in sequence, given in eV per atom: -1.427 -0.487.